{
  "formula": "SrPd8Au4",
  "functional": "PBE",
  "state": "optimized geometry",
  "e_form_ev_per_atom": -0.167,
  "sg": "I4/mmm, No. 139",
  "cell": [[-4.661, 4.661, 2.727], [4.661, -4.661, 2.727], [4.661, 4.661, -2.727]],
  "species": ["Sr", "Pd", "Pd", "Pd", "Pd", "Pd", "Pd", "Pd", "Pd", "Au", "Au", "Au", "Au"],
  "fractional_positions": [[0.000, 0.000, 0.000], [0.000, 0.355, 0.355], [0.000, 0.645, 0.645], [0.279, 0.500, 0.779], [0.355, 0.000, 0.355], [0.500, 0.279, 0.779], [0.500, 0.721, 0.221], [0.645, 0.000, 0.645], [0.721, 0.500, 0.221], [0.000, 0.000, 0.500], [0.000, 0.500, 0.000], [0.500, 0.000, 0.000], [0.500, 0.500, 0.500]]
}